Below is an optimized crystal structure of Hf2InN, with properties calculated at the GGA-PBE level.

As for the formation energy (no corrections): -4.0 eV/f.u. Its magnetization is 0.0 μB/f.u. The value obtained for the total energy is -105.05 eV for the cell shown.

The structure belongs to space group R3m (No. 160, hexagonal axes); the cell edges are 3.2422, 3.2422 and 22.4171 Å and the angles 90.00°, 90.00° and 120.00°. Symmetry generates all atoms from Hf at (0.0000, 0.0000, 0.0000), Hf at (0.0000, 0.0000, 0.2214), In at (0.0000, 0.0000, 0.7777) and N at (0.0000, 0.0000, 0.6097).